VASP calculation (PBE) on a relaxed Ce8Al2Sn crystal.

a b c (Å): 8.1298 8.1298 5.5666
angles (deg): 100.31 100.31 117.56
Closest atoms and distances in Å follow each position.
Sites, in units of the cell vectors:
Ce1 0.0721 0.2837 0.5837  2 Ce 2.82-2.94, 1 Al 3.13
Ce2 0.2332 0.7668 0.0000  2 Al 2.99, 1 Sn 3.24
Ce3 0.2837 0.0721 0.5837  2 Ce 2.82-2.94, 1 Al 3.13
Ce4 0.4118 0.4118 0.1697  1 Ce 2.78
Ce5 0.5882 0.5882 0.8303  1 Ce 2.78
Ce6 0.7163 0.9279 0.4163  2 Ce 2.82-2.94, 1 Al 3.13
Ce7 0.7668 0.2332 0.0000  2 Al 2.99, 1 Sn 3.24
Ce8 0.9279 0.7163 0.4163  2 Ce 2.82-2.94, 1 Al 3.13
Al1 0.3113 0.6887 0.5000  8 Ce 2.99-3.19
Al2 0.6887 0.3113 0.5000  8 Ce 2.99-3.19
Sn1 0.0000 0.0000 0.0000  12 Ce 3.24-3.49

Output
The calculation puts the total energy at -5.49 eV per atom. Its density of states at the Fermi level is 3.104 states/eV/atom. The value obtained for the energy of formation from the pure elements is -131 meV per atom.



VASP calculation (PBE) on a relaxed CeAlSn crystal.

a b c (Å): 5.3523 5.3523 5.3523
angles (deg): 132.97 132.97 68.70
Closest atoms and distances in Å follow each position.
Sites, in units of the cell vectors:
Ce1 0.0000 0.0000 0.0000  5 Al 3.04-3.32, 5 Sn 3.06-3.31
Al1 0.3441 0.3441 0.0000  1 Sn 2.73, 1 Ce 3.04
Sn1 0.6533 0.6533 0.0000  1 Al 2.73

Output
The calculation puts the total energy at -4.67 eV per atom. Its density of states at the Fermi level is 2.218 states/eV/atom. The value obtained for the energy of formation from the pure elements is -108 meV per atom.



VASP calculation (PBE) on a relaxed CeAlSn2 crystal.

a b c (Å): 11.0029 11.0029 11.0029
angles (deg): 17.62 17.62 17.62
Closest atoms and distances in Å follow each position.
Sites, in units of the cell vectors:
Ce1 0.0000 0.0000 0.0000  2 Sn 3.21, 6 Ce 3.37
Al1 0.5000 0.5000 0.5000  6 Sn 2.94
Sn1 0.0987 0.0987 0.0987  3 Al 2.94, 1 Ce 3.21
Sn2 0.9013 0.9013 0.9013  3 Al 2.94, 1 Ce 3.21

Output
The calculation puts the total energy at -4.28 eV per atom. Its density of states at the Fermi level is 1.389 states/eV/atom. The energy above the most stable polymorph in this dataset comes out at 611 meV per atom. The value obtained for the energy of formation from the pure elements is 142 meV per atom.



VASP calculation (PBE) on a relaxed CeAlSn crystal.

a b c (Å): 4.5636 4.5636 4.2282
angles (deg): 90.00 90.00 120.00
Closest atoms and distances in Å follow each position.
Sites, in units of the cell vectors:
Ce1 0.0000 0.0000 0.0000  6 Al 3.21-3.56, 6 Sn 3.29-3.47
Al1 0.3333 0.6667 0.4322  3 Sn 2.67
Sn1 0.6667 0.3333 0.5330  3 Al 2.67

Output
The calculation puts the total energy at -5.01 eV per atom. Its density of states at the Fermi level is 2.266 states/eV/atom. The value obtained for the energy of formation from the pure elements is -445 meV per atom.